The following is a PBE calculation of a relaxed structure of NaLa2ZnFe, from the Alexandria database.

abc: 5.192 5.192 4.998
angles: 90.00 90.00 90.00
Space group P4/mmm (No. 123)
One atom of each set of equivalent atoms:
Na  0.000  0.000  0.000 x1
La  0.000  0.500  0.500 x2
Zn  0.500  0.500  0.000 x1
Fe  0.500  0.500  0.500 x1

Output
Crystal system: tetragonal
DFT formation energy, eV per atom: 0.04